A plane-wave DFT calculation with PBE was carried out for Y2PdO4 after structural relaxation.

Values from the calculation:
Final energy   -7.694 eV per atom
Space-group type   Fd-3m, No. 227

Unit cell a=6.7753 b=6.7753 c=6.7753 alpha=60.00 beta=60.00 gamma=60.00
With the nearest neighbours (Å) after each atom.
Atoms (fractional coordinates):
1 Y 0.0000 0.0000 0.0000  6 O 2.29
2 Y 0.0000 0.0000 0.5000  6 O 2.29
3 Y 0.0000 0.5000 0.0000  6 O 2.29
4 Y 0.5000 0.0000 0.0000  6 O 2.29
5 Pd 0.3750 0.3750 0.3750  4 O 2.27
6 Pd 0.6250 0.6250 0.6250  4 O 2.27
7 O 0.2147 0.7618 0.7618  1 Pd 2.27, 3 Y 2.29
8 O 0.2382 0.2382 0.2382  1 Pd 2.27, 3 Y 2.29
9 O 0.2382 0.2382 0.7853  1 Pd 2.27, 3 Y 2.29
10 O 0.2382 0.7853 0.2382  1 Pd 2.27, 3 Y 2.29
11 O 0.7618 0.2147 0.7618  1 Pd 2.27, 3 Y 2.29
12 O 0.7618 0.7618 0.2147  1 Pd 2.27, 3 Y 2.29
13 O 0.7618 0.7618 0.7618  1 Pd 2.27, 3 Y 2.29
14 O 0.7853 0.2382 0.2382  1 Pd 2.27, 3 Y 2.29

A plane-wave DFT calculation with PBE was carried out for NpRuPbO6 after structural relaxation.

Values from the calculation:
Final energy   -7.976 eV per atom
Space-group type   P-31c, No. 163

Unit cell a=5.4001 b=5.4001 c=10.9565 alpha=90.00 beta=90.00 gamma=120.00
With the nearest neighbours (Å) after each atom.
Atoms (fractional coordinates):
1 Np 0.3333 0.6667 0.2500  6 O 2.09
2 Np 0.6667 0.3333 0.7500  6 O 2.09
3 Ru 0.3333 0.6667 0.7500  6 O 2.02
4 Ru 0.6667 0.3333 0.2500  6 O 2.02
5 Pb 0.0000 0.0000 0.0000  6 O 2.55
6 Pb 0.0000 0.0000 0.5000  6 O 2.55
7 O 0.0100 0.3698 0.6480  1 Ru 2.02, 1 Np 2.09
8 O 0.0100 0.6402 0.8520  1 Ru 2.02, 1 Np 2.09
9 O 0.3598 0.3698 0.8520  1 Ru 2.02, 1 Np 2.09
10 O 0.3598 0.9900 0.6480  1 Ru 2.02, 1 Np 2.09
11 O 0.3698 0.0100 0.1480  1 Ru 2.02, 1 Np 2.09
12 O 0.3698 0.3598 0.3520  1 Ru 2.02, 1 Np 2.09
13 O 0.6302 0.6402 0.6480  1 Ru 2.02, 1 Np 2.09
14 O 0.6302 0.9900 0.8520  1 Ru 2.02, 1 Np 2.09
15 O 0.6402 0.0100 0.3520  1 Ru 2.02, 1 Np 2.09
16 O 0.6402 0.6302 0.1480  1 Ru 2.02, 1 Np 2.09
17 O 0.9900 0.3598 0.1480  1 Ru 2.02, 1 Np 2.09
18 O 0.9900 0.6302 0.3520  1 Ru 2.02, 1 Np 2.09

A plane-wave DFT calculation with PBE was carried out for CeMgIn after structural relaxation.

Values from the calculation:
Final energy   -3.579 eV per atom
Space-group type   I4mm, No. 107
E_form   -0.1568 eV/atom

Unit cell a=7.3890 b=7.3890 c=7.3890 alpha=153.91 beta=153.91 gamma=37.23
With the nearest neighbours (Å) after each atom.
Atoms (fractional coordinates):
1 Ce 0.0000 0.0000 0.0000  4 Ce 3.34, 4 In 3.37, 4 Mg 3.46
2 Mg 0.3195 0.3195 0.0000  4 In 3.13, 4 Mg 3.34, 4 Ce 3.46
3 In 0.6722 0.6722 0.0000  4 Mg 3.13, 4 In 3.34, 4 Ce 3.37

A plane-wave DFT calculation with PBE was carried out for Pa4GeP2S after structural relaxation.

Values from the calculation:
Final energy   -8.374 eV per atom
Space-group type   P2/m, No. 10

Unit cell a=6.8759 b=3.9997 c=6.9635 alpha=90.00 beta=109.48 gamma=90.00
With the nearest neighbours (Å) after each atom.
Atoms (fractional coordinates):
1 Pa 0.2415 0.0000 0.2412  3 P 2.78-2.82, 1 S 2.83, 2 Ge 2.88
2 Pa 0.2462 0.5000 0.7548  3 P 2.78-2.82, 2 S 2.83, 1 Ge 2.87
3 Pa 0.7538 0.5000 0.2452  3 P 2.78-2.82, 2 S 2.83, 1 Ge 2.87
4 Pa 0.7585 0.0000 0.7588  3 P 2.78-2.82, 1 S 2.83, 2 Ge 2.88
5 Ge 0.5000 0.5000 0.5000  6 Pa 2.87-2.88
6 P 0.0000 0.5000 0.0000  6 Pa 2.78
7 P 0.5000 0.0000 0.0000  6 Pa 2.82
8 S 0.0000 0.0000 0.5000  6 Pa 2.83

A plane-wave DFT calculation with PBE was carried out for NaAc2Sb3Pd6 after structural relaxation.

Values from the calculation:
Final energy   -4.830 eV per atom
Space-group type   P4/mmm, No. 123

Unit cell a=4.5780 b=4.5780 c=15.5655 alpha=90.00 beta=90.00 gamma=90.00
With the nearest neighbours (Å) after each atom.
Atoms (fractional coordinates):
1 Na 0.0000 0.0000 0.0000  8 Pd 2.78
2 Ac 0.0000 0.0000 0.2762  8 Pd 3.39-3.55, 4 Sb 3.59
3 Ac 0.0000 0.0000 0.7238  8 Pd 3.39-3.55, 4 Sb 3.59
4 Sb 0.5000 0.5000 0.1768  5 Pd 2.55-2.57
5 Sb 0.5000 0.5000 0.5000  2 Pd 2.48
6 Sb 0.5000 0.5000 0.8232  5 Pd 2.55-2.57
7 Pd 0.0000 0.5000 0.1018  2 Sb 2.57, 2 Na 2.78
8 Pd 0.0000 0.5000 0.8982  2 Sb 2.57, 2 Na 2.78
9 Pd 0.5000 0.0000 0.1018  2 Sb 2.57, 2 Na 2.78
10 Pd 0.5000 0.0000 0.8982  2 Sb 2.57, 2 Na 2.78
11 Pd 0.5000 0.5000 0.3405  2 Sb 2.48-2.55
12 Pd 0.5000 0.5000 0.6595  2 Sb 2.48-2.55

A plane-wave DFT calculation with PBE was carried out for YMg2Pb after structural relaxation.

Values from the calculation:
Final energy   -3.485 eV per atom
Space-group type   Cmmm, No. 65
E_form   -0.1444 eV/atom

Unit cell a=5.5479 b=5.5479 c=3.6959 alpha=90.00 beta=90.00 gamma=108.91
With the nearest neighbours (Å) after each atom.
Atoms (fractional coordinates):
1 Y 0.0000 0.0000 0.0000  2 Pb 3.23, 8 Mg 3.33
2 Mg 0.0000 0.5000 0.5000  2 Mg 3.23, 4 Pb 3.33, 4 Y 3.33
3 Mg 0.5000 0.0000 0.5000  2 Mg 3.23, 4 Pb 3.33, 4 Y 3.33
4 Pb 0.5000 0.5000 0.0000  2 Y 3.23, 8 Mg 3.33